(1)
Ba2Pt2Pb | PBE | optimized geometry

abc: 3.8798 3.8798 10.6908
angles: 79.55 79.55 90.00
Element x y z (fractional)
Pt1 0.7500 0.2500 0.5000
Pt2 0.2500 0.7500 0.5000
Ba1 0.6247 0.6247 0.7506
Ba2 0.3753 0.3753 0.2494
Pb1 0.0000 0.0000 0.0000

DFT formation energy   -0.47 eV per atom
M_tot   0.00 Bohr magnetons per cell
V   31.1 Å³ per atom
Fermi-level density of states   3.73 states/eV/cell
Crystal system   tetragonal
Theoretical density   9.31 g/cm3

***

(2)
Pr2DySb3Pt4 | PBE | optimized geometry

abc: 4.5392 4.5392 11.4516
angles: 90.00 90.00 90.00
Element x y z (fractional)
Sb1 0.0000 0.5000 0.1301
Sb2 0.0000 0.0000 0.5000
Sb3 0.5000 0.0000 0.8699
Pt1 0.5000 0.5000 0.0000
Pt2 0.0000 0.0000 0.0000
Pt3 0.5000 0.0000 0.6429
Pt4 0.0000 0.5000 0.3571
Pr1 0.5000 0.0000 0.2146
Pr2 0.0000 0.5000 0.7854
Dy1 0.5000 0.5000 0.5000

M_tot   0.00 Bohr magnetons per cell
V   23.6 Å³ per atom
Uncorrected formation energy   -0.955 eV/atom
Fermi-level density of states   2.72 states/eV/cell
Crystal system   tetragonal
Theoretical density   11.19 g/cm3

***

(3)
MnNiP2 | PBE | optimized geometry

abc: 3.2053 5.1841 5.7196
angles: 90.00 90.00 90.00
Element x y z (fractional)
P1 0.5000 0.8148 0.3159
P2 0.5000 0.3148 0.6841
P3 0.0000 0.1914 0.1674
P4 0.0000 0.6914 0.8326
Mn1 0.5000 0.9963 0.9411
Mn2 0.5000 0.4963 0.0589
Ni1 0.0000 0.9975 0.5487
Ni2 0.0000 0.4975 0.4513

DFT formation energy   -0.52 eV per atom
M_tot   1.38 Bohr magnetons per cell
V   11.9 Å³ per atom
Fermi-level density of states   2.85 states/eV/cell
Crystal system   orthorhombic
Theoretical density   6.14 g/cm3

***

(4)
Pr3Y4Er2 | PBE | optimized geometry

abc: 6.0868 11.3200 11.3200
angles: 62.73 64.05 64.05
Element x y z (fractional)
Er1 0.5870 0.7482 0.4796
Er2 0.4130 0.2518 0.5204
Er3 0.9130 0.5204 0.2518
Er4 0.0870 0.4796 0.7482
Pr1 0.2500 0.6048 0.3952
Pr2 0.7524 0.7214 0.9441
Pr3 0.2476 0.2786 0.0559
Pr4 0.2524 0.9441 0.7214
Pr5 0.7476 0.0559 0.2786
Pr6 0.7500 0.3952 0.6048
Y1 0.0721 0.1584 0.4099
Y2 0.5806 0.0808 0.8176
Y3 0.0806 0.8176 0.0808
Y4 0.4279 0.5901 0.8416
Y5 0.9194 0.1824 0.9192
Y6 0.9279 0.8416 0.5901
Y7 0.5721 0.4099 0.1584
Y8 0.4194 0.9192 0.1824

DFT formation energy   0.10 eV per atom
M_tot   0.00 Bohr magnetons per cell
V   33.1 Å³ per atom
Fermi-level density of states   28.52 states/eV/cell
Crystal system   monoclinic
Theoretical density   6.21 g/cm3

***

(5)
Tl4AgSe | PBE | optimized geometry

abc: 6.3594 6.3594 6.3594
angles: 60.00 60.00 60.00
Element x y z (fractional)
Tl1 0.3748 0.3748 0.8756
Tl2 0.3748 0.3748 0.3748
Tl3 0.3748 0.8756 0.3748
Tl4 0.8756 0.3748 0.3748
Se1 0.0000 0.0000 0.0000
Ag1 0.7500 0.7500 0.7500

M_tot   0.00 Bohr magnetons per cell
V   30.3 Å³ per atom
Uncorrected formation energy   0.246 eV/atom
Fermi-level density of states   2.85 states/eV/cell
Crystal system   cubic
Theoretical density   9.17 g/cm3

***

(6)
Sc2MnPd | PBE | optimized geometry

abc: 4.0918 4.0918 9.8060
angles: 77.96 77.96 90.00
Element x y z (fractional)
Sc1 0.8750 0.8774 0.7500
Sc2 0.3750 0.3726 0.7500
Sc3 0.6274 0.1250 0.2500
Sc4 0.1226 0.6250 0.2500
Pd1 0.0000 0.0000 0.0000
Pd2 0.7500 0.2500 0.5000
Mn1 0.2500 0.7500 0.5000
Mn2 0.5000 0.5000 0.0000

DFT formation energy   0.17 eV per atom
M_tot   6.13 Bohr magnetons per cell
V   19.6 Å³ per atom
Fermi-level density of states   9.70 states/eV/cell
Crystal system   tetragonal
Theoretical density   5.32 g/cm3

***

(7)
Al2ZnCo | PBE | optimized geometry

abc: 4.6779 4.6779 4.6779
angles: 133.41 133.36 68.05
Element x y z (fractional)
Zn1 0.7499 0.2499 0.5000
Al1 0.9999 0.9999 0.0000
Al2 0.2501 0.7501 0.5000
Co1 0.5001 0.5001 0.0000

DFT formation energy   -0.22 eV per atom
M_tot   0.00 Bohr magnetons per cell
V   13.3 Å³ per atom
Fermi-level density of states   1.46 states/eV/cell
Crystal system   tetragonal
Theoretical density   5.57 g/cm3

***

(8)
VSnBr2 | PBE | optimized geometry

abc: 9.1381 9.1381 7.0288
angles: 49.45 49.45 90.00
Element x y z (fractional)
Br1 0.8750 0.7415 0.7500
Br2 0.3750 0.5085 0.7500
Br3 0.2585 0.6250 0.2500
Br4 0.4915 0.1250 0.2500
Sn1 0.7500 0.2500 0.5000
Sn2 0.0000 0.0000 0.0000
V1 0.5000 0.5000 0.0000
V2 0.2500 0.7500 0.5000

M_tot   5.89 Bohr magnetons per cell
V   28.9 Å³ per atom
Uncorrected formation energy   -0.138 eV/atom
Fermi-level density of states   2.79 states/eV/cell
Crystal system   tetragonal
Theoretical density   4.74 g/cm3